1.
VASP calculation (GGA-PBE) on NbPRu after structural relaxation.

Output
As for the formation energy: -0.849 eV/atom. The symmetry is Pnma, No. 62.

Structure (POSCAR):
```
NbPRu
1.0
6.3661 0.0000 0.0000
0.0000 3.7495 0.0000
0.0000 0.0000 7.2179
Nb P Ru
4 4 4
Cartesian
0.1542 0.9374 1.2420
3.0288 2.8121 4.8510
3.3373 0.9374 2.3670
6.2119 2.8121 5.9759
1.4683 2.8121 2.7142
1.7148 0.9374 6.3231
4.6513 2.8121 0.8948
4.8979 0.9374 4.5037
0.9228 0.9374 4.0608
2.2603 2.8121 0.4519
4.1058 0.9374 6.7660
5.4434 2.8121 3.1571
```

---

2.
VASP calculation (GGA-PBE) on NbP2Ru after structural relaxation.

Output
As for the formation energy: -0.360 eV/atom. The symmetry is R-3m, No. 166.

Structure (POSCAR):
```
NbP2Ru
1.0
1.8648 1.0766 5.0092
-1.8648 1.0766 5.0092
0.0000 -2.1533 5.0092
Nb P Ru
1 2 1
Cartesian
0.0000 0.0000 0.0000
0.0000 0.0000 3.5913
0.0000 0.0000 11.4364
0.0000 0.0000 7.5139
```

---

3.
VASP calculation (GGA-PBE) on SrNbP2Ru after structural relaxation.

Output
As for the formation energy: -0.803 eV/atom. The symmetry is I-4m2, No. 119.

Structure (POSCAR):
```
SrNbP2Ru
1.0
-1.9912 1.9912 6.3041
1.9912 -1.9912 6.3041
1.9912 1.9912 -6.3041
Sr Nb P Ru
1 1 2 1
Cartesian
0.0000 0.0000 0.0000
0.0000 1.9912 3.1520
0.0000 0.0000 4.6223
0.0000 0.0000 7.9858
1.9912 0.0000 3.1520
```

---

4.
VASP calculation (GGA-PBE) on TaNbPRu2 after structural relaxation.

Output
As for the formation energy: 1.706 eV/atom. The symmetry is P4/mmm, No. 123.

Structure (POSCAR):
```
TaNbPRu2
1.0
4.6716 0.0000 0.0000
0.0000 4.6716 0.0000
0.0000 0.0000 4.9547
Ta Nb P Ru
1 1 1 2
Cartesian
0.0000 0.0000 0.0000
0.0000 0.0000 2.4774
2.3358 2.3358 2.4774
0.0000 2.3358 0.0000
2.3358 0.0000 0.0000
```

---

5.
VASP calculation (GGA-PBE) on UNbP2Ru5 after structural relaxation.

Output
As for the formation energy: -0.565 eV/atom. The symmetry is P4/mmm, No. 123.

Structure (POSCAR):
```
UNbP2Ru5
1.0
4.0259 0.0000 0.0000
0.0000 4.0259 0.0000
0.0000 0.0000 8.4697
U Nb P Ru
1 1 2 5
Cartesian
0.0000 0.0000 0.0000
0.0000 0.0000 4.2348
2.0129 2.0129 1.1498
2.0129 2.0129 7.3199
0.0000 2.0129 2.2921
0.0000 2.0129 6.1776
2.0129 0.0000 2.2921
2.0129 0.0000 6.1776
2.0129 2.0129 4.2348
```

---

6.
VASP calculation (GGA-PBE) on NbP2RuW after structural relaxation.

Output
As for the formation energy: 1.279 eV/atom. The symmetry is P4/mmm, No. 123.

Structure (POSCAR):
```
NbP2RuW
1.0
4.4197 0.0000 0.0000
0.0000 4.4197 0.0000
0.0000 0.0000 4.9278
Nb P Ru W
1 2 1 1
Cartesian
0.0000 0.0000 0.0000
0.0000 2.2098 2.4639
2.2098 0.0000 2.4639
0.0000 0.0000 2.4639
2.2098 2.2098 0.0000
```

---

7.
VASP calculation (GGA-PBE) on YNbPRu2 after structural relaxation.

Output
As for the formation energy: 1.800 eV/atom. The symmetry is P4/mmm, No. 123.

Structure (POSCAR):
```
YNbPRu2
1.0
4.7121 0.0000 0.0000
0.0000 4.7121 0.0000
0.0000 0.0000 4.9516
Y Nb P Ru
1 1 1 2
Cartesian
0.0000 0.0000 0.0000
2.3561 2.3561 2.4758
0.0000 0.0000 2.4758
0.0000 2.3561 0.0000
2.3561 0.0000 0.0000
```

---

8.
VASP calculation (GGA-PBE) on NbZn2PRu after structural relaxation.

Output
As for the formation energy: 0.663 eV/atom. The symmetry is P4/mmm, No. 123.

Structure (POSCAR):
```
NbZn2PRu
1.0
4.7396 0.0000 0.0000
0.0000 4.7396 0.0000
0.0000 0.0000 4.3379
Nb Zn P Ru
1 2 1 1
Cartesian
0.0000 0.0000 0.0000
0.0000 2.3698 2.1690
2.3698 0.0000 2.1690
2.3698 2.3698 0.0000
2.3698 2.3698 2.1690
```

---

9.
VASP calculation (GGA-PBE) on NbPS3 after structural relaxation.

Output
The energy relative to the elements, uncorrected is 0.3099 eV/atom. The symmetry is Pm-3m, No. 221. The polymorph energy (0 for the lowest one) is 0.8732 eV per atom.

Structure (POSCAR):
```
NbPS3
1.0
4.8093 0.0000 0.0000
0.0000 4.8093 0.0000
0.0000 0.0000 4.8093
Nb P S
1 1 3
Cartesian
0.0000 0.0000 0.0000
2.4046 2.4046 2.4046
0.0000 0.0000 2.4046
0.0000 2.4046 0.0000
2.4046 0.0000 0.0000
```

---

10.
VASP calculation (GGA-PBE) on Nb3PS after structural relaxation.

Output
The energy relative to the elements, uncorrected is 0.3049 eV/atom. The symmetry is Pm-3m, No. 221. The polymorph energy (0 for the lowest one) is 0.0000 eV per atom.

Structure (POSCAR):
```
Nb3PS
1.0
4.5424 0.0000 0.0000
0.0000 4.5424 0.0000
0.0000 0.0000 4.5424
Nb P S
3 1 1
Cartesian
0.0000 0.0000 2.2712
0.0000 2.2712 0.0000
2.2712 0.0000 0.0000
2.2712 2.2712 2.2712
0.0000 0.0000 0.0000
```

---

11.
VASP calculation (GGA-PBE) on NbP3S after structural relaxation.

Output
The energy relative to the elements, uncorrected is 0.7195 eV/atom. The symmetry is Pm-3m, No. 221. The polymorph energy (0 for the lowest one) is 0.0000 eV per atom.

Structure (POSCAR):
```
NbP3S
1.0
4.8040 0.0000 0.0000
0.0000 4.8040 0.0000
0.0000 0.0000 4.8040
Nb P S
1 3 1
Cartesian
0.0000 0.0000 0.0000
0.0000 0.0000 2.4020
0.0000 2.4020 0.0000
2.4020 0.0000 0.0000
2.4020 2.4020 2.4020
```

---

12.
VASP calculation (GGA-PBE) on NbP2S2 after structural relaxation.

Output
The energy relative to the elements, uncorrected is 0.4995 eV/atom. The symmetry is P4/mmm, No. 123. The polymorph energy (0 for the lowest one) is 0.7109 eV per atom.

Structure (POSCAR):
```
NbP2S2
1.0
4.6882 0.0000 0.0000
0.0000 4.6882 0.0000
0.0000 0.0000 5.1340
Nb P S
1 2 2
Cartesian
0.0000 0.0000 0.0000
0.0000 0.0000 2.5670
2.3441 2.3441 2.5670
0.0000 2.3441 0.0000
2.3441 0.0000 0.0000
```

---

Number 1: N(E_F) 2.602 states/eV per cell. Number 2: N(E_F) 2.411 states/eV per cell. Number 3: N(E_F) 2.180 states/eV per cell. Number 4: N(E_F) 6.989 states/eV per cell. Number 5: N(E_F) 8.089 states/eV per cell. Number 6: N(E_F) 5.280 states/eV per cell. Number 7: N(E_F) 7.710 states/eV per cell. Number 8: N(E_F) 5.100 states/eV per cell. Number 9: N(E_F) 2.571 states/eV per cell. Number 10: N(E_F) 3.214 states/eV per cell. Number 11: N(E_F) 3.724 states/eV per cell. Number 12: N(E_F) 3.371 states/eV per cell.